# 1
# Ba2SrIrPb

An optimized crystal structure of Ba2SrIrPb (PBE-GGA, Alexandria).

Unit cell a=6.0139 b=6.0139 c=5.8035 alpha=90.00 beta=90.00 gamma=90.00
Positions (direct):
Ba 0.0000 0.5000 0.0000
Ba 0.5000 0.0000 0.0000
Sr 0.0000 0.0000 0.5000
Ir 0.0000 0.0000 0.0000
Pb 0.5000 0.5000 0.5000

Values from the calculation:
SG: P4/mmm, No. 123
Fermi-level density of states in states/eV per atom: 1.335
Calculated formation energy in eV/atom: -0.20

---

# 2
# BaTaIr2Pb

An optimized crystal structure of BaTaIr2Pb (PBE-GGA, Alexandria).

Unit cell a=4.9782 b=4.9782 c=5.4536 alpha=90.00 beta=90.00 gamma=90.00
Positions (direct):
Ba 0.0000 0.0000 0.0000
Ta 0.5000 0.5000 0.5000
Ir 0.0000 0.5000 0.5000
Ir 0.5000 0.0000 0.5000
Pb 0.5000 0.5000 0.0000

Values from the calculation:
SG: P4/mmm, No. 123
Fermi-level density of states in states/eV per atom: 0.898
Calculated formation energy in eV/atom: 0.48

---

# 3
# Ba2TeIrPb

An optimized crystal structure of Ba2TeIrPb (PBE-GGA, Alexandria).

Unit cell a=6.1142 b=6.1142 c=5.1503 alpha=90.00 beta=90.00 gamma=90.00
Positions (direct):
Ba 0.0000 0.5000 0.0000
Ba 0.5000 0.0000 0.0000
Te 0.0000 0.0000 0.5000
Ir 0.5000 0.5000 0.0000
Pb 0.5000 0.5000 0.5000

Values from the calculation:
SG: P4/mmm, No. 123
Fermi-level density of states in states/eV per atom: 0.360
Final energy in eV per atom: -4.550

---

- Fermi-level density of states of number 3 (Ba2TeIrPb)?
  0.360 states/eV per atom